1.
DFT (PBE) results for an optimized crystal structure of PmYHg.

abc: 6.9770 6.9770 6.9770
angles: 149.43 149.43 43.77
Last column: nearest neighbours and their distance in Å.
Element x y z (fractional)
Pm  0.0000  0.0000  0.0000  4 Hg 3.34, 4 Y 3.62, 4 Pm 3.68
Y  0.3058  0.3058  0.0000  4 Hg 3.20
Hg  0.6613  0.6613  0.0000  4 Y 3.20, 4 Pm 3.34

Properties
ΔE_f in eV/atom: -0.312
Crystal system: tetragonal
Space group: I4mm, No. 107
Total magnetization in μB/cell: 0.787
E_tot in eV/atom: -4.150


2.
DFT (PBE) results for an optimized crystal structure of Pm3Y2Hg2.

abc: 8.6448 8.6448 8.6448
angles: 36.69 36.69 36.69
Last column: nearest neighbours and their distance in Å.
Element x y z (fractional)
Pm  0.0000  0.0000  0.0000  6 Hg 3.33
Pm  0.1588  0.1588  0.1588  1 Hg 3.12, 3 Pm 3.16
Pm  0.8412  0.8412  0.8412  1 Hg 3.12, 3 Pm 3.16
Y  0.4249  0.4249  0.4249  4 Hg 3.31-3.33, 3 Pm 3.54, 1 Y 3.63
Y  0.5751  0.5751  0.5751  4 Hg 3.31-3.33, 3 Pm 3.54, 1 Y 3.63
Hg  0.2879  0.2879  0.2879  4 Pm 3.12-3.33, 4 Y 3.31-3.33
Hg  0.7121  0.7121  0.7121  4 Pm 3.12-3.33, 4 Y 3.31-3.33

Properties
ΔE_f in eV/atom: -0.251
Crystal system: trigonal
Space group: R-3m, No. 166
Total magnetization in μB/cell: 0.000
E_tot in eV/atom: -4.220


3.
DFT (PBE) results for an optimized crystal structure of PmYHg5.

abc: 5.1115 5.1115 7.1632
angles: 90.00 90.00 90.00
Last column: nearest neighbours and their distance in Å.
Element x y z (fractional)
Pm  0.0000  0.0000  0.0000  8 Hg 3.21
Y  0.5000  0.5000  0.5000  8 Hg 3.04
Hg  0.0000  0.5000  0.2713  2 Y 3.04, 3 Hg 3.21-3.28, 2 Pm 3.21
Hg  0.0000  0.5000  0.7287  2 Y 3.04, 3 Hg 3.21-3.28, 2 Pm 3.21
Hg  0.5000  0.0000  0.2713  2 Y 3.04, 3 Hg 3.21-3.28, 2 Pm 3.21
Hg  0.5000  0.0000  0.7287  2 Y 3.04, 3 Hg 3.21-3.28, 2 Pm 3.21
Hg  0.5000  0.5000  0.0000  8 Hg 3.21, 2 Y 3.58

Properties
ΔE_f in eV/atom: -0.285
Crystal system: tetragonal
Space group: P4/mmm, No. 123
Total magnetization in μB/cell: 0.000
E_tot in eV/atom: -2.103


4.
DFT (PBE) results for an optimized crystal structure of Pm3YHg.

abc: 15.1482 15.1482 5.6040
angles: 90.06 90.06 14.20
Last column: nearest neighbours and their distance in Å.
Element x y z (fractional)
Pm  0.0481  0.0481  0.2477  6 Hg 3.27-3.38
Pm  0.1291  0.1291  0.7487  2 Hg 3.24, 4 Pm 3.50
Pm  0.3393  0.3393  0.7508  8 Pm 3.50-3.87, 4 Y 3.55-3.70
Pm  0.6607  0.6607  0.2492  8 Pm 3.50-3.87, 4 Y 3.55-3.70
Pm  0.8709  0.8709  0.2513  2 Hg 3.24, 4 Pm 3.50
Pm  0.9519  0.9519  0.7523  6 Hg 3.27-3.38
Y  0.2668  0.2668  0.2502  6 Y 3.52-3.75, 6 Pm 3.55-3.70
Y  0.7332  0.7332  0.7498  6 Y 3.52-3.75, 6 Pm 3.55-3.70
Hg  0.4589  0.4589  0.2530  8 Pm 3.24-3.38
Hg  0.5411  0.5411  0.7470  8 Pm 3.24-3.38

Properties
ΔE_f in eV/atom: -0.183
Crystal system: monoclinic
Space group: C2/m, No. 12
Total magnetization in μB/cell: 0.000
E_tot in eV/atom: -4.386


5.
DFT (PBE) results for an optimized crystal structure of PmYHg3.

abc: 14.6862 14.6862 4.9388
angles: 90.00 90.00 165.78
Last column: nearest neighbours and their distance in Å.
Element x y z (fractional)
Pm  0.0761  0.9240  0.7500  12 Hg 3.35-3.59, 2 Pm 3.64
Pm  0.9240  0.0761  0.2500  12 Hg 3.35-3.59, 2 Pm 3.64
Y  0.2104  0.7896  0.2500  7 Hg 3.13-3.17
Y  0.7896  0.2104  0.7500  7 Hg 3.13-3.17
Hg  0.3178  0.6822  0.2500  2 Hg 3.02, 5 Y 3.13-3.17
Hg  0.3774  0.6226  0.7500  3 Hg 2.87-3.02, 2 Y 3.14
Hg  0.4758  0.5242  0.7500  3 Hg 2.84-2.87
Hg  0.5242  0.4758  0.2500  3 Hg 2.84-2.87
Hg  0.6226  0.3774  0.2500  3 Hg 2.87-3.02, 2 Y 3.14
Hg  0.6822  0.3178  0.7500  2 Hg 3.02, 5 Y 3.13-3.17

Properties
ΔE_f in eV/atom: -0.431
Crystal system: orthorhombic
Space group: Cmcm, No. 63
Total magnetization in μB/cell: 0.452
E_tot in eV/atom: -2.855


6.
DFT (PBE) results for an optimized crystal structure of Pm3YHg.

abc: 6.8715 6.8715 8.0359
angles: 107.33 107.33 67.15
Last column: nearest neighbours and their distance in Å.
Element x y z (fractional)
Pm  0.0577  0.0577  0.2362  2 Hg 3.45-3.48, 7 Pm 3.54-3.62, 2 Y 3.80
Pm  0.0893  0.5874  0.3546  2 Hg 3.27, 3 Y 3.54-3.57, 5 Pm 3.54-3.62
Pm  0.4126  0.9107  0.6454  2 Hg 3.27, 3 Y 3.54-3.57, 5 Pm 3.54-3.62
Pm  0.5874  0.0893  0.3546  2 Hg 3.27, 3 Y 3.54-3.57, 5 Pm 3.54-3.62
Pm  0.9107  0.4126  0.6454  2 Hg 3.27, 3 Y 3.54-3.57, 5 Pm 3.54-3.62
Pm  0.9423  0.9423  0.7638  2 Hg 3.45-3.48, 7 Pm 3.54-3.62, 2 Y 3.80
Y  0.4393  0.4393  0.7577  2 Hg 3.29-3.30, 6 Pm 3.54-3.57, 1 Y 3.64
Y  0.5607  0.5607  0.2423  2 Hg 3.29-3.30, 6 Pm 3.54-3.57, 1 Y 3.64
Hg  0.2598  0.2598  0.9994  6 Pm 3.27-3.48, 2 Y 3.29-3.30
Hg  0.7402  0.7402  0.0006  6 Pm 3.27-3.48, 2 Y 3.29-3.30

Properties
ΔE_f in eV/atom: -0.100
Crystal system: monoclinic
Space group: C2/m, No. 12
Total magnetization in μB/cell: 0.000
E_tot in eV/atom: -4.304


7.
DFT (PBE) results for an optimized crystal structure of PmYHg4.

abc: 4.6191 5.4386 6.7140
angles: 82.40 70.57 84.31
Last column: nearest neighbours and their distance in Å.
Element x y z (fractional)
Pm  0.0000  0.0000  0.0000  8 Hg 3.15-3.18
Y  0.0012  0.5004  0.5010  8 Hg 3.12-3.15
Hg  0.3320  0.9963  0.3445  4 Hg 2.99-3.17, 2 Y 3.12-3.13, 2 Pm 3.17-3.18
Hg  0.3435  0.4969  0.8360  4 Hg 3.04-3.20, 2 Y 3.12-3.15, 2 Pm 3.15-3.16
Hg  0.6591  0.5030  0.1664  4 Hg 3.04-3.20, 2 Y 3.12-3.15, 2 Pm 3.15-3.16
Hg  0.6684  0.0048  0.6551  4 Hg 2.99-3.17, 2 Y 3.12-3.13, 2 Pm 3.17-3.18

Properties
ΔE_f in eV/atom: -0.393
Crystal system: triclinic
Space group: P1, No. 1
Total magnetization in μB/cell: 0.000
E_tot in eV/atom: -2.463


8.
DFT (PBE) results for an optimized crystal structure of PmYHg.

abc: 5.1733 5.1733 3.8343
angles: 90.00 90.00 120.00
Last column: nearest neighbours and their distance in Å.
Element x y z (fractional)
Pm  0.0000  0.0000  0.0000  3 Hg 3.27, 6 Y 3.48-3.63
Y  0.6667  0.3333  0.4634  3 Hg 3.07
Hg  0.3333  0.6667  0.6520  3 Y 3.07, 3 Pm 3.27

Properties
ΔE_f in eV/atom: -0.189
Crystal system: trigonal
Space group: P3m1, No. 156
Total magnetization in μB/cell: 0.000
E_tot in eV/atom: -4.028